The following is a PBE calculation of KLiGaIr2 after structural relaxation, from Alexandria via LeMat-Bulk.

a = 4.920 Å, b = 3.955 Å, c = 4.920 Å
α = 90.00°, β = 90.00°, γ = 90.00°
Sites, in units of the cell vectors:
Li 0.000 0.500 0.000
Ga 0.500 0.500 0.500
Ir 0.000 0.000 0.500
Ir 0.500 0.000 0.000
K 0.000 0.000 0.000

Summary:
Spin magnetization ... 0.00 μB/f.u.
ΔE_f ... 9.36 eV per formula unit



The following is a PBE calculation of LaDy2YTm5 after structural relaxation, from Alexandria via LeMat-Bulk.

a = 8.890 Å, b = 8.890 Å, c = 9.654 Å
α = 117.42°, β = 117.42°, γ = 90.00°
Sites, in units of the cell vectors:
Tm 0.575 0.664 0.739
Tm 0.000 0.000 0.000
La 0.750 0.750 0.500
Dy 0.113 0.387 0.000
Tm 0.925 0.425 0.261
Dy 0.887 0.613 0.000
Dy 0.387 0.887 0.000
Y 0.250 0.750 0.500
Tm 0.425 0.336 0.261
Tm 0.336 0.836 0.261
Tm 0.164 0.075 0.739
Tm 0.075 0.575 0.739
Tm 0.500 0.500 0.000
Dy 0.613 0.113 0.000
Tm 0.664 0.164 0.739
Y 0.750 0.250 0.500
Tm 0.836 0.925 0.261
La 0.250 0.250 0.500

Summary:
Spin magnetization ... 0.00 μB/f.u.
ΔE_f ... 2.53 eV per formula unit



The following is a PBE calculation of MgFe2Co after structural relaxation, from Alexandria via LeMat-Bulk.

a = 8.649 Å, b = 8.649 Å, c = 8.649 Å
α = 17.65°, β = 17.65°, γ = 17.65°
Last column: magnetic moment on the atom in μB.
Sites, in units of the cell vectors:
Mg 0.250 0.250 0.250  -0.03
Fe 0.493 0.493 0.493  2.41
Fe 0.007 0.007 0.007  2.41
Co 0.750 0.750 0.750  1.59

Summary:
Spin magnetization ... 6.30 μB/f.u.
ΔE_f ... 1.02 eV per formula unit



The following is a PBE calculation of CrHg2Cl after structural relaxation, from Alexandria via LeMat-Bulk.

a = 3.368 Å, b = 3.368 Å, c = 7.857 Å
α = 90.00°, β = 90.00°, γ = 97.26°
Last column: magnetic moment on the atom in μB.
Sites, in units of the cell vectors:
Hg 0.000 0.000 0.518  0.02
Cl 0.500 0.500 0.250  0.03
Cr 0.500 0.500 0.750  3.88
Hg 0.000 0.000 0.982  0.02

Summary:
Spin magnetization ... 4.49 μB/f.u.
Uncorrected formation energy ... 0.5 eV per formula unit



The following is a PBE calculation of MnVS2 after structural relaxation, from Alexandria via LeMat-Bulk.

a = 4.259 Å, b = 4.259 Å, c = 4.259 Å
α = 60.00°, β = 60.00°, γ = 60.00°
Last column: magnetic moment on the atom in μB.
Sites, in units of the cell vectors:
V 0.000 0.000 0.000  -1.54
S 0.250 0.250 0.250  0.08
S 0.750 0.750 0.750  0.08
Mn 0.500 0.500 0.500  3.34

Summary:
Spin magnetization ... 1.88 μB/f.u.
Uncorrected formation energy ... -1.2 eV per formula unit



The following is a PBE calculation of Tb4AgPt2 after structural relaxation, from Alexandria via LeMat-Bulk.

a = 7.953 Å, b = 7.953 Å, c = 7.948 Å
α = 109.32°, β = 109.31°, γ = 109.82°
Sites, in units of the cell vectors:
Tb 0.921 0.608 0.686
Pt 0.625 0.375 0.750
Ag 0.000 0.000 0.000
Ag 0.250 0.750 0.500
Tb 0.765 0.079 0.687
Pt 0.625 0.875 0.250
Pt 0.125 0.375 0.750
Tb 0.485 0.671 0.813
Pt 0.625 0.375 0.250
Tb 0.858 0.671 0.187
Tb 0.392 0.078 0.313
Tb 0.328 0.142 0.813
Tb 0.329 0.515 0.187
Tb 0.922 0.235 0.314

Summary:
Spin magnetization ... 0.00 μB/f.u.
ΔE_f ... -4.82 eV per formula unit